A.
4
Lattice="5.180 0.000 0.000 2.590 4.486 0.000 2.590 1.495 4.230" Properties=species:S:1:pos:R:3 comment="Y2TlAs PBEsol optimized geometry" vol_a3_per_cell=98.3 pbc="T T T"
Y 7.770 4.486 3.172
Tl 2.590 1.495 1.057
As 5.180 2.991 2.115
Y 0.000 0.000 0.000


B.
4
Lattice="-3.149 -2.179 0.969 -0.716 -3.389 -1.898 2.974 -5.687 4.924" Properties=species:S:1:pos:R:3 comment="Y2TlAs PBEsol optimized geometry" vol_a3_per_cell=104.9 pbc="T T T"
Y -0.381 -2.672 0.805
Y -0.510 -8.583 3.191
Tl -0.445 -5.628 1.998
As 0.000 0.000 0.000


Verdict on stability: A comes out at the bottom.


A.
4
Lattice="3.058 -0.019 -0.033 -0.586 5.486 0.106 -0.586 -2.642 4.809" Properties=species:S:1:pos:R:3 comment="TlZnAs2 PBEsol optimized geometry" vol_a3_per_cell=81.3 pbc="T T T"
As -0.293 2.743 0.053
Zn 1.529 -0.009 -0.016
As -0.293 -1.321 2.404
Tl 0.943 1.412 2.441


B.
4
Lattice="-0.189 3.339 -1.226 -2.435 -0.847 3.242 6.497 1.255 2.417" Properties=species:S:1:pos:R:3 comment="TlZnAs2 PBEsol optimized geometry" vol_a3_per_cell=88.1 pbc="T T T"
As -2.126 2.440 1.798
As 3.341 1.501 3.573
Tl 2.994 2.320 0.683
Zn 0.196 2.274 0.989


C.
8
Lattice="5.839 0.000 0.000 0.000 5.839 0.000 -2.919 -2.919 5.972" Properties=species:S:1:pos:R:3 comment="TlZnAs2 PBEsol optimized geometry" vol_a3_per_cell=203.6 pbc="T T T"
Zn 2.919 2.919 0.000
As 1.460 1.235 4.479
As 4.155 1.460 1.493
Tl 0.000 2.919 2.986
As -1.460 -1.235 4.479
As 1.684 4.379 1.493
Zn 2.919 0.000 2.986
Tl 0.000 0.000 0.000


Verdict on stability: A comes out at the bottom.


A.
14
Lattice="3.313 0.000 0.000 -1.657 6.878 0.019 0.000 -1.661 8.815" Properties=species:S:1:pos:R:3 comment="V4As3 PBEsol optimized geometry" vol_a3_per_cell=201.0 pbc="T T T"
V 0.000 0.000 0.000
V 1.657 2.411 7.164
As 1.657 3.906 3.055
V 0.000 5.624 2.406
V 0.000 2.806 1.670
As 1.657 0.315 8.755
V 0.000 -0.831 4.407
As 1.657 4.674 6.477
V 1.657 1.512 3.954
As 0.000 0.543 2.356
V 1.657 -0.407 6.427
V 0.000 3.705 4.879
As 0.000 4.902 0.078
As 0.000 1.311 5.778


B.
28
Lattice="3.337 0.000 0.000 -1.669 6.842 0.000 0.000 0.000 17.563" Properties=species:S:1:pos:R:3 comment="V4As3 PBEsol optimized geometry" vol_a3_per_cell=401.0 pbc="T T T"
As 1.669 4.699 7.417
V 1.669 3.200 14.737
V 0.000 3.642 2.827
As 1.669 5.469 15.516
V 1.669 6.045 13.173
V 0.000 4.517 17.103
V 0.000 4.517 9.242
V 1.669 0.431 15.525
V 0.000 0.797 4.391
V 0.000 3.642 5.955
As 0.000 5.721 4.391
V 1.669 3.200 11.608
V 0.000 0.000 8.782
As 1.669 4.699 1.364
V 1.669 2.325 0.461
As 0.000 1.373 6.734
V 1.669 2.325 8.321
As 1.669 5.469 10.829
As 0.000 2.143 16.199
V 1.669 0.431 10.820
As 1.669 2.693 4.391
V 0.000 0.000 0.000
V 0.000 6.411 6.743
As 1.669 1.121 13.173
As 0.000 4.149 13.173
V 0.000 6.411 2.038
As 0.000 2.143 10.146
As 0.000 1.373 2.047


Verdict on stability: A comes out at the bottom.


A.
4
Lattice="2.820 0.001 0.000 -0.874 2.681 0.000 0.000 0.000 9.337" Properties=species:S:1:pos:R:3 comment="As3W PBEsol optimized geometry" vol_a3_per_cell=70.6 pbc="T T T"
As 0.000 0.000 6.707
As 0.973 1.341 0.000
As 0.000 0.000 2.630
W 0.973 1.341 4.669


B.
4
Lattice="-1.543 -1.059 -2.534 -3.161 -1.110 2.388 -0.001 6.235 -0.647" Properties=species:S:1:pos:R:3 comment="As3W PBEsol optimized geometry" vol_a3_per_cell=74.0 pbc="T T T"
W -1.580 -0.555 1.194
As -1.478 3.237 -0.452
As -3.226 0.830 -0.340
As -0.771 -0.529 -1.267


Verdict on stability: A comes out at the bottom.


A.
4
Lattice="3.416 0.000 0.000 0.000 3.416 0.000 0.000 0.000 5.877" Properties=species:S:1:pos:R:3 comment="ZrAs2W PBEsol optimized geometry" vol_a3_per_cell=68.6 pbc="T T T"
W 0.000 0.000 2.729
As 0.000 0.000 5.700
As 1.708 1.708 1.693
Zr 1.708 1.708 4.572


B.
4
Lattice="3.281 0.000 0.000 0.000 4.563 -0.016 -1.640 -1.045 4.535" Properties=species:S:1:pos:R:3 comment="ZrAs2W PBEsol optimized geometry" vol_a3_per_cell=67.8 pbc="T T T"
Zr 0.000 3.194 2.350
W 0.000 0.906 4.385
As 1.640 0.900 2.357
As 1.640 3.270 4.473


Verdict on stability: B comes out at the bottom.


A.
4
Lattice="3.991 0.000 0.000 1.996 3.457 0.000 1.996 1.152 7.019" Properties=species:S:1:pos:R:3 comment="Y2ZnAs PBEsol optimized geometry" vol_a3_per_cell=96.8 pbc="T T T"
Y 1.996 1.152 1.901
Y 5.987 3.457 5.118
As 3.991 2.304 3.509
Zn 0.000 0.000 0.000


B.
4
Lattice="3.972 0.000 0.000 0.000 4.146 0.000 0.000 -2.073 5.346" Properties=species:S:1:pos:R:3 comment="Y2ZnAs PBEsol optimized geometry" vol_a3_per_cell=88.0 pbc="T T T"
Zn 0.000 2.073 0.459
Y 1.986 2.073 5.175
As 1.986 2.073 2.198
Y 0.000 0.000 2.860


C.
4
Lattice="-1.538 3.281 0.266 -1.089 -0.785 3.378 5.567 2.417 2.356" Properties=species:S:1:pos:R:3 comment="Y2ZnAs PBEsol optimized geometry" vol_a3_per_cell=86.0 pbc="T T T"
Y 0.258 -0.199 3.948
Y 4.219 1.832 1.786
Zn 1.470 2.457 3.000
As -1.313 1.248 1.822


Verdict on stability: C comes out at the bottom.


A.
8
Lattice="3.800 0.000 0.000 0.000 3.800 0.000 -1.900 -1.900 10.339" Properties=species:S:1:pos:R:3 comment="ZnAs3 PBEsol optimized geometry" vol_a3_per_cell=149.3 pbc="T T T"
As 1.900 1.900 8.237
As 0.000 0.000 2.102
Zn 0.000 0.000 7.326
As 0.000 1.900 0.000
As 1.900 0.000 5.170
Zn 1.900 1.900 3.014
As 1.900 0.000 0.000
As 0.000 1.900 5.170


B.
4
Lattice="-0.361 -2.250 1.844 -1.599 -2.319 -0.811 7.167 -5.678 -3.195" Properties=species:S:1:pos:R:3 comment="ZnAs3 PBEsol optimized geometry" vol_a3_per_cell=71.0 pbc="T T T"
As 1.143 -2.477 -0.469
As 4.064 -7.769 -1.693
Zn 0.000 0.000 0.000
As 2.604 -5.123 -1.081


Verdict on stability: B comes out at the bottom.